# TlCuAg

A PBEsol-optimized structure of TlCuAg (meta-GGA SCAN, Alexandria).

Results
As for the formation enthalpy at 0 K: 0.25 eV per atom. As for the space group: I4mm.

a b c (Å): 5.2355 5.2355 5.2355
angles (deg): 142.64 142.64 53.87
Closest atoms and distances in Å follow each position.
Atoms (fractional coordinates):
Tl 0.0000 0.0000 0.0000  5 Cu 2.88-3.04, 5 Ag 2.88-2.97
Cu 0.6742 0.6742 0.0000  4 Ag 2.68, 4 Tl 2.88
Ag 0.3083 0.3083 0.0000  4 Cu 2.68, 5 Tl 2.88-2.97